# FeSiO2

A relaxed structure of FeSiO2 (PBE+U, Alexandria).

Output
- electronic total energy (eV/cell) = -101.95
- V (Å³/atom) = 13.5
- M_tot (μB per formula unit) = 3.410

Geometry as CIF:
```
data_FeSiO2
_symmetry_space_group_name_H-M 'I 41/a m d'
_symmetry_Int_Tables_number 141
_cell_length_a 5.300
_cell_length_b 5.300
_cell_length_c 7.662
_cell_angle_alpha 90.00
_cell_angle_beta 90.00
_cell_angle_gamma 90.00
loop_
_symmetry_equiv_pos_as_xyz
'x,y,z'
'-x,-y,-z'
'-y+1/4,x+3/4,z+1/4'
'y+1/4,-x+3/4,-z+1/4'
'-x+1/2,-y,z+1/2'
'x+1/2,y,-z+1/2'
'y+1/4,-x+1/4,z+3/4'
'-y+1/4,x+1/4,-z+3/4'
'x,-y,-z'
'-x,y,z'
'-y+1/4,-x+1/4,-z+3/4'
'y+1/4,x+1/4,z+3/4'
'-x+1/2,y,-z+1/2'
'x+1/2,-y,z+1/2'
'y+1/4,x+3/4,-z+1/4'
'-y+1/4,-x+3/4,z+1/4'
'x+1/2,y+1/2,z+1/2'
'-x+1/2,-y+1/2,-z+1/2'
'-y+3/4,x+1/4,z+3/4'
'y+3/4,-x+1/4,-z+3/4'
'-x,-y+1/2,z'
'x,y+1/2,-z'
'y+3/4,-x+3/4,z+1/4'
'-y+3/4,x+3/4,-z+1/4'
'x+1/2,-y+1/2,-z+1/2'
'-x+1/2,y+1/2,z+1/2'
'-y+3/4,-x+3/4,-z+1/4'
'y+3/4,x+3/4,z+1/4'
'-x,y+1/2,-z'
'x,-y+1/2,z'
'y+3/4,x+1/4,-z+3/4'
'-y+3/4,-x+1/4,z+3/4'
loop_
_atom_site_label
_atom_site_type_symbol
_atom_site_fract_x
_atom_site_fract_y
_atom_site_fract_z
Fe1 Fe 0.000 0.250 0.375
Si1 Si 0.000 0.250 0.875
O1 O 0.000 0.000 0.000
```